Entry from Alexandria via LeMat-Bulk: a geometry-optimized NaCaAsO4 structure (GGA-PBEsol).

Values from the calculation:
DOS(E_F) ... 0.000 states/eV per atom
Density ... 3.5 Mg/m³
Energy relative to the elements, uncorrected ... -2.081 eV/atom
Magnetic moment ... 0.0 μB per cell
Energy above the most stable polymorph in this dataset ... 0.024 eV/atom
Total energy ... -6.31 eV/atom

Cell: 5.4687 5.4687 7.1397 Å, 90.00 90.00 115.56°
Fractional positions:
O  0.3017  0.2243  0.7500
O  0.7566  0.2434  0.5556
O  0.2434  0.7566  0.0556
O  0.7566  0.2434  0.9444
O  0.2243  0.3017  0.2500
O  0.2434  0.7566  0.4444
O  0.6983  0.7757  0.2500
O  0.7757  0.6983  0.7500
Ca  0.0000  0.0000  0.0000
Ca  0.0000  0.0000  0.5000
Na  0.6792  0.3208  0.2500
Na  0.3208  0.6792  0.7500
As  0.3483  0.6517  0.2500
As  0.6517  0.3483  0.7500